(1)
# HfH2Pt2

A relaxed HfH2Pt2 crystal (PBEsol, Alexandria).

As for the raw total energy: -6.699 eV/atom. The value obtained for the density of states at the Fermi level is 2.2 states/eV per cell.

The structure belongs to space group I4/mmm (No. 139); the cell edges are 3.5999, 3.5999 and 8.5510 Å and the angles 90.00°, 90.00° and 90.00°. Symmetry generates all atoms from Hf at (0.0000, 0.0000, 0.0000), H at (0.0000, 0.5000, 0.2500) and Pt at (0.0000, 0.0000, 0.3386).



(2)
# Hf3HPt

A relaxed Hf3HPt crystal (PBEsol, Alexandria).

As for the raw total energy: -8.827 eV/atom. The value obtained for the density of states at the Fermi level is 5.3 states/eV per cell.

The structure belongs to space group Pm-3m (No. 221); the cell edges are 4.2619, 4.2619 and 4.2619 Å and the angles 90.00°, 90.00° and 90.00°. Symmetry generates all atoms from Hf at (0.0000, 0.0000, 0.5000), H at (0.0000, 0.0000, 0.0000) and Pt at (0.5000, 0.5000, 0.5000).



(3)
# Rb2HfH

A relaxed Rb2HfH crystal (PBEsol, Alexandria).

As for the raw total energy: -2.427 eV/atom. The value obtained for the density of states at the Fermi level is 28.7 states/eV per cell.

The structure belongs to space group Fm-3m (No. 225); the cell edges are 8.4799, 8.4799 and 8.4799 Å and the angles 90.00°, 90.00° and 90.00°. Symmetry generates all atoms from Rb at (0.2500, 0.2500, 0.2500), Hf at (0.0000, 0.0000, 0.0000) and H at (0.0000, 0.0000, 0.5000).



(4)
# RbHfH2

A relaxed RbHfH2 crystal (PBEsol, Alexandria).

As for the raw total energy: -4.256 eV/atom. The value obtained for the density of states at the Fermi level is 8.9 states/eV per cell.

The structure belongs to space group I-42d (No. 122); the cell edges are 5.8345, 5.8345 and 8.1192 Å and the angles 90.00°, 90.00° and 90.00°. Symmetry generates all atoms from Rb at (0.0000, 0.0000, 0.0000), Hf at (0.0000, 0.0000, 0.5000) and H at (0.1289, 0.7500, 0.6250).



(5)
# RbHf3H

A relaxed RbHf3H crystal (PBEsol, Alexandria).

As for the raw total energy: -6.369 eV/atom. The value obtained for the density of states at the Fermi level is 3.8 states/eV per cell.

The structure belongs to space group Pm-3m (No. 221); the cell edges are 4.5916, 4.5916 and 4.5916 Å and the angles 90.00°, 90.00° and 90.00°. Symmetry generates all atoms from Rb at (0.0000, 0.0000, 0.0000), Hf at (0.0000, 0.5000, 0.5000) and H at (0.5000, 0.5000, 0.5000).



(6)
# Hf2ReH2

A relaxed Hf2ReH2 crystal (PBEsol, Alexandria).

As for the raw total energy: -8.691 eV/atom. The value obtained for the density of states at the Fermi level is 4.0 states/eV per cell.

The structure belongs to space group I4/mmm (No. 139); the cell edges are 3.2370, 3.2370 and 11.4857 Å and the angles 90.00°, 90.00° and 90.00°. Symmetry generates all atoms from Hf at (0.0000, 0.0000, 0.1387), Re at (0.0000, 0.0000, 0.5000) and H at (0.0000, 0.5000, 0.2500).



(7)
# Hf3ReH

A relaxed Hf3ReH crystal (PBEsol, Alexandria).

As for the raw total energy: -9.658 eV/atom. The value obtained for the density of states at the Fermi level is 4.9 states/eV per cell.

The structure belongs to space group Pm-3m (No. 221); the cell edges are 4.2735, 4.2735 and 4.2735 Å and the angles 90.00°, 90.00° and 90.00°. Symmetry generates all atoms from Hf at (0.0000, 0.0000, 0.5000), Re at (0.5000, 0.5000, 0.5000) and H at (0.0000, 0.0000, 0.0000).



(8)
# HfH2Rh

A relaxed HfH2Rh crystal (PBEsol, Alexandria).

As for the raw total energy: -6.676 eV/atom. The value obtained for the density of states at the Fermi level is 9.8 states/eV per cell.

The structure belongs to space group I-42d (No. 122); the cell edges are 4.1327, 4.1327 and 9.3736 Å and the angles 90.00°, 90.00° and 90.00°. Symmetry generates all atoms from Hf at (0.0000, 0.0000, 0.0000), H at (0.1955, 0.2500, 0.6250) and Rh at (0.0000, 0.0000, 0.5000).



(9)
# Hf2HRhW

A relaxed Hf2HRhW crystal (PBEsol, Alexandria).

As for the raw total energy: -8.825 eV/atom. The value obtained for the density of states at the Fermi level is 5.1 states/eV per cell.

The structure belongs to space group P4/mmm (No. 123); the cell edges are 5.0880, 5.0880 and 3.1171 Å and the angles 90.00°, 90.00° and 90.00°. Symmetry generates all atoms from Hf at (0.0000, 0.5000, 0.0000), H at (0.0000, 0.0000, 0.5000), Rh at (0.0000, 0.0000, 0.0000) and W at (0.5000, 0.5000, 0.5000).



(10)
# HfZn2HRh

A relaxed HfZn2HRh crystal (PBEsol, Alexandria).

As for the raw total energy: -4.878 eV/atom. The value obtained for the density of states at the Fermi level is 3.1 states/eV per cell.

The structure belongs to space group P4/mmm (No. 123); the cell edges are 4.7587, 4.7587 and 3.2136 Å and the angles 90.00°, 90.00° and 90.00°. Symmetry generates all atoms from Hf at (0.0000, 0.0000, 0.0000), Zn at (0.0000, 0.5000, 0.5000), H at (0.5000, 0.5000, 0.0000) and Rh at (0.5000, 0.5000, 0.5000).



(11)
# Hf3HRu

A relaxed Hf3HRu crystal (PBEsol, Alexandria).

As for the raw total energy: -9.135 eV/atom. The value obtained for the density of states at the Fermi level is 5.4 states/eV per cell.

The structure belongs to space group Pm-3m (No. 221); the cell edges are 4.2582, 4.2582 and 4.2582 Å and the angles 90.00°, 90.00° and 90.00°. Symmetry generates all atoms from Hf at (0.0000, 0.0000, 0.5000), H at (0.0000, 0.0000, 0.0000) and Ru at (0.5000, 0.5000, 0.5000).



(12)
# HfHRu3

A relaxed HfHRu3 crystal (PBEsol, Alexandria).

As for the raw total energy: -9.113 eV/atom. The value obtained for the density of states at the Fermi level is 5.5 states/eV per cell.

The structure belongs to space group Pm-3m (No. 221); the cell edges are 3.9329, 3.9329 and 3.9329 Å and the angles 90.00°, 90.00° and 90.00°. Symmetry generates all atoms from Hf at (0.0000, 0.0000, 0.0000), H at (0.5000, 0.5000, 0.5000) and Ru at (0.0000, 0.5000, 0.5000).



(13)
# HfSb3H

A relaxed HfSb3H crystal (PBEsol, Alexandria).

As for the raw total energy: -5.182 eV/atom. The value obtained for the density of states at the Fermi level is 3.2 states/eV per cell.

The structure belongs to space group Pm-3m (No. 221); the cell edges are 4.6168, 4.6168 and 4.6168 Å and the angles 90.00°, 90.00° and 90.00°. Symmetry generates all atoms from Hf at (0.0000, 0.0000, 0.0000), Sb at (0.0000, 0.5000, 0.5000) and H at (0.5000, 0.5000, 0.5000).



(14)
# Hf3ScH

A relaxed Hf3ScH crystal (PBEsol, Alexandria).

As for the raw total energy: -8.360 eV/atom. The value obtained for the density of states at the Fermi level is 6.3 states/eV per cell.

The structure belongs to space group Pm-3m (No. 221); the cell edges are 4.4430, 4.4430 and 4.4430 Å and the angles 90.00°, 90.00° and 90.00°. Symmetry generates all atoms from Hf at (0.0000, 0.0000, 0.5000), Sc at (0.5000, 0.5000, 0.5000) and H at (0.0000, 0.0000, 0.0000).



(15)
# HfScH2

A relaxed HfScH2 crystal (PBEsol, Alexandria).

As for the raw total energy: -5.649 eV/atom. The value obtained for the density of states at the Fermi level is 15.2 states/eV per cell.

The structure belongs to space group Fm-3m (No. 225); the cell edges are 5.6993, 5.6993 and 5.6993 Å and the angles 90.00°, 90.00° and 90.00°. Symmetry generates all atoms from Hf at (0.0000, 0.0000, 0.0000), Sc at (0.0000, 0.0000, 0.5000) and H at (0.2500, 0.2500, 0.2500).



(16)
# HfSc2HW

A relaxed HfSc2HW crystal (PBEsol, Alexandria).

As for the raw total energy: -8.119 eV/atom. The value obtained for the density of states at the Fermi level is 5.3 states/eV per cell.

The structure belongs to space group P4/mmm (No. 123); the cell edges are 4.0934, 4.0934 and 4.7439 Å and the angles 90.00°, 90.00° and 90.00°. Symmetry generates all atoms from Hf at (0.0000, 0.0000, 0.0000), Sc at (0.0000, 0.5000, 0.5000), H at (0.0000, 0.0000, 0.5000) and W at (0.5000, 0.5000, 0.0000).



(17)
# HfH2Se

A relaxed HfH2Se crystal (PBEsol, Alexandria).

As for the raw total energy: -6.070 eV/atom. The value obtained for the density of states at the Fermi level is 0.0 states/eV per cell.

The structure belongs to space group R3m (No. 160, hexagonal axes); the cell edges are 3.4286, 3.4286 and 13.5374 Å and the angles 90.00°, 90.00° and 120.00°. Symmetry generates all atoms from Hf at (0.0000, 0.0000, 0.0000), H at (0.0000, 0.0000, 0.3903), H at (0.0000, 0.0000, 0.6902) and Se at (0.0000, 0.0000, 0.2016).



(18)
# Hf3HSe

A relaxed Hf3HSe crystal (PBEsol, Alexandria).

As for the raw total energy: -6.756 eV/atom. The value obtained for the density of states at the Fermi level is 3.4 states/eV per cell.

The structure belongs to space group Pm-3m (No. 221); the cell edges are 4.8753, 4.8753 and 4.8753 Å and the angles 90.00°, 90.00° and 90.00°. Symmetry generates all atoms from Hf at (0.0000, 0.0000, 0.5000), H at (0.5000, 0.5000, 0.5000) and Se at (0.0000, 0.0000, 0.0000).



(19)
# HfHW2Se

A relaxed HfHW2Se crystal (PBEsol, Alexandria).

As for the raw total energy: -6.408 eV/atom. The value obtained for the density of states at the Fermi level is 6.6 states/eV per cell.

The structure belongs to space group P4/mmm (No. 123); the cell edges are 4.9164, 4.9164 and 4.9433 Å and the angles 90.00°, 90.00° and 90.00°. Symmetry generates all atoms from Hf at (0.0000, 0.0000, 0.0000), H at (0.5000, 0.5000, 0.5000), W at (0.0000, 0.5000, 0.0000) and Se at (0.0000, 0.0000, 0.5000).



(20)
# Hf2SiH

A relaxed Hf2SiH crystal (PBEsol, Alexandria).

As for the raw total energy: -8.307 eV/atom. The value obtained for the density of states at the Fermi level is 7.0 states/eV per cell.

The structure belongs to space group I4/mcm (No. 140); the cell edges are 6.4577, 6.4577 and 5.3698 Å and the angles 90.00°, 90.00° and 90.00°. Symmetry generates all atoms from Hf at (0.1642, 0.3358, 0.0000), Si at (0.0000, 0.0000, 0.2500) and H at (0.0000, 0.5000, 0.2500).



(21)
# Hf3SiH

A relaxed Hf3SiH crystal (PBEsol, Alexandria).

As for the raw total energy: -8.500 eV/atom. The value obtained for the density of states at the Fermi level is 4.3 states/eV per cell.

The structure belongs to space group Pm-3m (No. 221); the cell edges are 4.2457, 4.2457 and 4.2457 Å and the angles 90.00°, 90.00° and 90.00°. Symmetry generates all atoms from Hf at (0.0000, 0.0000, 0.5000), Si at (0.5000, 0.5000, 0.5000) and H at (0.0000, 0.0000, 0.0000).



(22)
# Hf3SnH

A relaxed Hf3SnH crystal (PBEsol, Alexandria).

The distance to the lowest polymorph of the same formula is 0.00 eV per formula unit. The value obtained for the density of states at the Fermi level is 4.8 states/eV per cell.

The structure belongs to space group Pm-3m (No. 221); the cell edges are 4.3803, 4.3803 and 4.3803 Å and the angles 90.00°, 90.00° and 90.00°. Symmetry generates all atoms from Hf at (0.0000, 0.0000, 0.5000), Sn at (0.5000, 0.5000, 0.5000) and H at (0.0000, 0.0000, 0.0000).



(23)
# SrHfH3

A relaxed SrHfH3 crystal (PBEsol, Alexandria).

As for the raw total energy: -4.654 eV/atom. The value obtained for the density of states at the Fermi level is 3.4 states/eV per cell.

The structure belongs to space group Pm-3m (No. 221); the cell edges are 4.0027, 4.0027 and 4.0027 Å and the angles 90.00°, 90.00° and 90.00°. Symmetry generates all atoms from Sr at (0.0000, 0.0000, 0.0000), Hf at (0.5000, 0.5000, 0.5000) and H at (0.0000, 0.5000, 0.5000).



(24)
# Hf2TaH2

A relaxed Hf2TaH2 crystal (PBEsol, Alexandria).

As for the raw total energy: -8.294 eV/atom. The value obtained for the density of states at the Fermi level is 6.8 states/eV per cell.

The structure belongs to space group I4/mmm (No. 139); the cell edges are 3.1124, 3.1124 and 13.5294 Å and the angles 90.00°, 90.00° and 90.00°. Symmetry generates all atoms from Hf at (0.0000, 0.0000, 0.1502), Ta at (0.0000, 0.0000, 0.5000) and H at (0.0000, 0.5000, 0.2500).



(25)
# HfTaH2

A relaxed HfTaH2 crystal (PBEsol, Alexandria).

As for the raw total energy: -7.020 eV/atom. The value obtained for the density of states at the Fermi level is 5.1 states/eV per cell.

The structure belongs to space group Fm-3m (No. 225); the cell edges are 5.5879, 5.5879 and 5.5879 Å and the angles 90.00°, 90.00° and 90.00°. Symmetry generates all atoms from Hf at (0.0000, 0.0000, 0.0000), Ta at (0.0000, 0.0000, 0.5000) and H at (0.2500, 0.2500, 0.2500).



(26)
# HfTc3H

A relaxed HfTc3H crystal (PBEsol, Alexandria).

As for the raw total energy: -6.735 eV/atom. The value obtained for the density of states at the Fermi level is 6.9 states/eV per cell.

The structure belongs to space group Pm-3m (No. 221); the cell edges are 4.7112, 4.7112 and 4.7112 Å and the angles 90.00°, 90.00° and 90.00°. Symmetry generates all atoms from Hf at (0.0000, 0.0000, 0.0000), Tc at (0.0000, 0.0000, 0.5000) and H at (0.5000, 0.5000, 0.5000).



(27)
# Hf2TcHW

A relaxed Hf2TcHW crystal (PBEsol, Alexandria).

As for the raw total energy: -10.035 eV/atom. The value obtained for the density of states at the Fermi level is 4.3 states/eV per cell.

The structure belongs to space group P4/mmm (No. 123); the cell edges are 4.6091, 4.6091 and 3.3822 Å and the angles 90.00°, 90.00° and 90.00°. Symmetry generates all atoms from Hf at (0.0000, 0.5000, 0.0000), Tc at (0.0000, 0.0000, 0.5000), H at (0.0000, 0.0000, 0.0000) and W at (0.5000, 0.5000, 0.5000).



(28)
# HfTeH2

A relaxed HfTeH2 crystal (PBEsol, Alexandria).

As for the raw total energy: -4.751 eV/atom. The value obtained for the density of states at the Fermi level is 7.3 states/eV per cell.

The structure belongs to space group Fm-3m (No. 225); the cell edges are 5.9170, 5.9170 and 5.9170 Å and the angles 90.00°, 90.00° and 90.00°. Symmetry generates all atoms from Hf at (0.0000, 0.0000, 0.0000), Te at (0.0000, 0.0000, 0.5000) and H at (0.2500, 0.2500, 0.2500).



(29)
# HfTe2H

A relaxed HfTe2H crystal (PBEsol, Alexandria).

As for the raw total energy: -5.163 eV/atom. The value obtained for the density of states at the Fermi level is 4.1 states/eV per cell.

The structure belongs to space group Fm-3m (No. 225); the cell edges are 6.8908, 6.8908 and 6.8908 Å and the angles 90.00°, 90.00° and 90.00°. Symmetry generates all atoms from Hf at (0.0000, 0.0000, 0.0000), Te at (0.2500, 0.2500, 0.2500) and H at (0.0000, 0.0000, 0.5000).